This record from Alexandria via LeMat-Bulk describes crystalline LaIrW at its relaxed geometry. The functional is GGA-PBE.

Summary:
VASP energy (hartree per atom): -0.3116
Space-group type: P3m1, No. 156

Lattice parameters (Å, degrees): 2.921 2.921 7.883 90.00 90.00 120.00
Fractional positions:
La (0.000, 0.000, 0.000)
Ir (0.667, 0.333, 0.639)
W (0.333, 0.667, 0.376)

=====

This record from Alexandria via LeMat-Bulk describes crystalline GaAgSn at its relaxed geometry. The functional is GGA-PBE.

Summary:
VASP energy (hartree per atom): -0.1194
Space-group type: P-1, No. 2

Lattice parameters (Å, degrees): 5.015 5.219 5.651 87.94 75.72 63.49
Fractional positions:
Ga (0.055, 0.489, 0.251)
Ga (0.945, 0.511, 0.749)
Ag (0.452, 0.767, 0.153)
Ag (0.548, 0.233, 0.847)
Sn (0.260, 0.879, 0.687)
Sn (0.740, 0.121, 0.313)

=====

This record from Alexandria via LeMat-Bulk describes crystalline Ta2SiTe at its relaxed geometry. The functional is GGA-PBE.

Summary:
Raw formation energy (eV/atom): -0.014
Space-group type: Cm, No. 8

Lattice parameters (Å, degrees): 9.478 3.377 4.742 90.00 105.15 90.00
Fractional positions:
Ta (0.000, 0.000, 0.000)
Ta (0.219, 0.000, 0.635)
Ta (0.500, 0.500, 0.000)
Ta (0.719, 0.500, 0.635)
Si (0.223, 0.500, 0.105)
Si (0.723, 0.000, 0.105)
Te (0.479, 0.000, 0.478)
Te (0.979, 0.500, 0.478)

=====

This record from Alexandria via LeMat-Bulk describes crystalline GaPb8Au2 at its relaxed geometry. The functional is GGA-PBE.

Summary:
VASP energy (hartree per atom): -0.1292
Space-group type: C2/m, No. 12

Lattice parameters (Å, degrees): 8.163 8.163 5.905 108.61 108.61 67.30
Fractional positions:
Ga (0.000, 0.000, 0.000)
Pb (0.133, 0.133, 0.588)
Pb (0.181, 0.580, 0.082)
Pb (0.398, 0.398, 0.613)
Pb (0.420, 0.819, 0.918)
Pb (0.580, 0.181, 0.082)
Pb (0.602, 0.602, 0.387)
Pb (0.819, 0.420, 0.918)
Pb (0.867, 0.867, 0.412)
Au (0.208, 0.208, 0.164)
Au (0.792, 0.792, 0.836)

=====

This record from Alexandria via LeMat-Bulk describes crystalline CrB2S at its relaxed geometry. The functional is GGA-PBE.

Summary:
Raw formation energy (eV/atom): 0.662
Space-group type: I-42d, No. 122

Lattice parameters (Å, degrees): 5.061 5.061 7.337 90.00 90.00 90.00
Fractional positions:
Cr (0.000, 0.000, 0.000)
Cr (0.000, 0.500, 0.250)
Cr (0.500, 0.000, 0.750)
Cr (0.500, 0.500, 0.500)
B (0.208, 0.250, 0.625)
B (0.250, 0.708, 0.875)
B (0.250, 0.792, 0.375)
B (0.292, 0.250, 0.125)
B (0.708, 0.750, 0.125)
B (0.750, 0.208, 0.375)
B (0.750, 0.292, 0.875)
B (0.792, 0.750, 0.625)
S (0.000, 0.000, 0.500)
S (0.000, 0.500, 0.750)
S (0.500, 0.000, 0.250)
S (0.500, 0.500, 0.000)

=====

This record from Alexandria via LeMat-Bulk describes crystalline Pm4Pr2Ho5 at its relaxed geometry. The functional is GGA-PBE.

Summary:
VASP energy (hartree per atom): -0.1666
Space-group type: C2/m, No. 12

Lattice parameters (Å, degrees): 12.198 12.198 8.827 96.47 96.47 16.40
Fractional positions:
Pm (0.046, 0.046, 0.358)
Pm (0.321, 0.321, 0.529)
Pm (0.679, 0.679, 0.471)
Pm (0.954, 0.954, 0.642)
Pr (0.090, 0.090, 0.742)
Pr (0.910, 0.910, 0.258)
Ho (0.142, 0.142, 0.118)
Ho (0.233, 0.233, 0.829)
Ho (0.500, 0.500, 0.000)
Ho (0.767, 0.767, 0.171)
Ho (0.858, 0.858, 0.882)

=====

This record from Alexandria via LeMat-Bulk describes crystalline Ru2PbAuO8 at its relaxed geometry. The functional is GGA-PBE.

Summary:
Raw formation energy (eV/atom): -0.508
Space-group type: R32, No. 155

Lattice parameters (Å, degrees): 8.272 8.272 8.272 37.22 37.22 37.22
Fractional positions:
Ru (0.248, 0.248, 0.248)
Ru (0.752, 0.752, 0.752)
Pb (0.500, 0.500, 0.500)
Au (0.000, 0.000, 0.000)
O (0.069, 0.416, 0.714)
O (0.170, 0.170, 0.170)
O (0.286, 0.584, 0.931)
O (0.416, 0.714, 0.069)
O (0.584, 0.931, 0.286)
O (0.714, 0.069, 0.416)
O (0.830, 0.830, 0.830)
O (0.931, 0.286, 0.584)

=====

This record from Alexandria via LeMat-Bulk describes crystalline NdSmAsP at its relaxed geometry. The functional is GGA-PBE.

Summary:
VASP energy (hartree per atom): -0.2356
Space-group type: P4/mmm, No. 123

Lattice parameters (Å, degrees): 4.195 4.195 5.923 90.00 90.00 90.00
Fractional positions:
Nd (0.000, 0.000, 0.000)
Sm (0.500, 0.500, 0.500)
As (0.500, 0.500, 0.000)
P (0.000, 0.000, 0.500)

=====

This record from Alexandria via LeMat-Bulk describes crystalline Tb3CdPt at its relaxed geometry. The functional is GGA-PBE.

Summary:
VASP energy (hartree per atom): -0.1759
Space-group type: P-1, No. 2

Lattice parameters (Å, degrees): 5.819 5.863 8.878 102.61 102.44 109.84
Fractional positions:
Tb (0.080, 0.203, 0.285)
Tb (0.296, 0.419, 0.715)
Tb (0.297, 0.797, 0.094)
Tb (0.703, 0.203, 0.906)
Tb (0.704, 0.581, 0.285)
Tb (0.920, 0.797, 0.715)
Cd (0.298, 0.793, 0.499)
Cd (0.702, 0.207, 0.501)
Pt (0.250, 0.250, 0.000)
Pt (0.750, 0.750, 0.000)

=====

The records above yield D(E_F) values of 2.57 2.32 2.60 5.38 8.16 20.10 6.33 0.45 8.13 states/eV per cell, respectively.